Run A
Compound: CaWCl2
Source: the Alexandria database
Functional: meta-GGA SCAN
Structure: single point on PBEsol structure

Computed properties:
Spin magnetization = 0.00 μB per formula unit
Theoretical density = 6.40 g/cm3

Cell: 3.0245 5.8825 8.5964 Å, 90.00 90.00 90.00°
Last column: nearest neighbours and their distance in Å.
Space group Cmmm (No. 65)
One atom of each set of equivalent atoms:
Ca  0.0000  0.0000  0.0000 x2  4 Cl 2.80, 2 Ca 3.02
W  0.0000  0.0000  0.5000 x2  4 Cl 2.46
Cl  0.0000  0.5000  0.2748 x4  2 W 2.46


Run B
Compound: CaWCl2
Source: the Alexandria database
Functional: meta-GGA SCAN
Structure: single point on PBEsol structure

Computed properties:
Spin magnetization = 0.00 μB per formula unit
Theoretical density = 6.04 g/cm3

Cell: 3.0999 3.0999 8.4388 Å, 90.00 90.00 90.00°
Last column: nearest neighbours and their distance in Å.
Space group P4mm (No. 99)
One atom of each set of equivalent atoms:
Ca  0.0000  0.0000  0.0000 x1  4 Cl 2.72
W  0.5000  0.5000  0.7078 x1  4 Cl 2.54
Cl  0.0000  0.0000  0.5552 x1  4 W 2.54
Cl  0.5000  0.5000  0.1899 x1  4 Ca 2.72


Which one sits at the bottom of the stability order? run A does.


Run A
Compound: CaWCl
Source: the Alexandria database
Functional: meta-GGA SCAN
Structure: single point on PBEsol structure

Computed properties:
Spin magnetization = 5.00 μB per formula unit
Theoretical density = 4.68 g/cm3

Cell: 7.1659 7.1659 7.1659 Å, 90.00 90.00 90.00°
Last column: nearest neighbours and their distance in Å.
Space group F-43m (No. 216)
One atom of each set of equivalent atoms:
Ca  0.0000  0.0000  0.0000 x4  4 W 3.10, 4 Cl 3.10
W  0.2500  0.2500  0.7500 x4  4 Ca 3.10
Cl  0.2500  0.2500  0.2500 x4  4 Ca 3.10


Run B
Compound: CaWCl
Source: the Alexandria database
Functional: meta-GGA SCAN
Structure: single point on PBEsol structure

Computed properties:
Spin magnetization = 0.00 μB per formula unit
Theoretical density = 6.95 g/cm3

Cell: 4.1360 4.1634 14.4028 Å, 90.00 90.00 90.00°
Last column: nearest neighbours and their distance in Å.
Space group Fmm2 (No. 42)
One atom of each set of equivalent atoms:
Ca  0.0000  0.0000  0.0000 x4  4 Cl 2.69-2.71, 4 Ca 2.93
W  0.0000  0.0000  0.3295 x4  4 W 2.93, 4 Ca 3.21-3.22
Cl  0.0000  0.0000  0.6199 x4  4 Ca 2.69-2.71, 4 Cl 2.93


Which one sits at the bottom of the stability order? run A does.


Run A
Compound: CaYCl2
Source: the Alexandria database
Functional: meta-GGA SCAN
Structure: single point on PBEsol structure

Computed properties:
Spin magnetization = 0.34 μB per formula unit
Theoretical density = 3.09 g/cm3

Cell: 3.7705 3.7705 26.1714 Å, 90.00 90.00 120.00°
Last column: nearest neighbours and their distance in Å.
Space group R-3m (No. 166, hexagonal axes)
One atom of each set of equivalent atoms:
Ca  0.0000  0.0000  0.0000 x3  6 Cl 2.70
Y  0.0000  0.0000  0.5000 x3  2 Cl 2.76
Cl  0.0000  0.0000  0.3946 x6  3 Ca 2.70, 1 Y 2.76


Run B
Compound: CaYCl2
Source: the Alexandria database
Functional: meta-GGA SCAN
Structure: single point on PBEsol structure

Computed properties:
Spin magnetization = 0.37 μB per formula unit
Theoretical density = 4.15 g/cm3

Cell: 4.8309 4.8309 3.4287 Å, 90.00 90.00 90.00°
Last column: nearest neighbours and their distance in Å.
Space group P4/mmm (No. 123)
One atom of each set of equivalent atoms:
Ca  0.0000  0.0000  0.0000 x1  8 Cl 2.96
Y  0.5000  0.5000  0.0000 x1  8 Cl 2.96
Cl  0.0000  0.5000  0.5000 x2  4 Ca 2.96, 4 Y 2.96


Which one sits at the bottom of the stability order? run B does.


Run A
Compound: CaCr2Co
Source: the Alexandria database
Functional: meta-GGA SCAN
Structure: single point on PBEsol structure

Computed properties:
Spin magnetization = 0.00 μB per formula unit
Theoretical density = 5.39 g/cm3

Cell: 9.0443 2.8490 4.9734 Å, 90.00 102.47 90.00°
Last column: nearest neighbours and their distance in Å.
Space group C2/m (No. 12)
One atom of each set of equivalent atoms:
Ca  0.0000  0.0000  0.0000 x2  2 Ca 2.85, 4 Co 2.87, 6 Cr 2.95-3.17
Cr  0.2139  0.0000  0.6293 x4  2 Cr 2.11
Co  0.0000  0.5000  0.5000 x2  4 Cr 2.38


Run B
Compound: CaCr2Co
Source: the Alexandria database
Functional: meta-GGA SCAN
Structure: single point on PBEsol structure

Computed properties:
Spin magnetization = 0.26 μB per formula unit
Theoretical density = 5.36 g/cm3

Cell: 8.3968 2.7937 5.5358 Å, 90.00 104.41 90.00°
Last column: nearest neighbours and their distance in Å.
Space group Cm (No. 8)
One atom of each set of equivalent atoms:
Ca  0.0000  0.0000  0.0000 x2  2 Ca 2.79, 3 Co 2.89-2.94, 3 Cr 3.01-3.05
Cr  0.0025  0.5000  0.5115 x2  2 Cr 2.16, 2 Co 2.35
Cr  0.3025  0.5000  0.3849 x2  2 Cr 2.16, 2 Co 2.33
Co  0.2285  0.0000  0.6753 x2  4 Cr 2.33-2.35


Run C
Compound: CaCr2Co
Source: the Alexandria database
Functional: meta-GGA SCAN
Structure: single point on PBEsol structure

Computed properties:
Spin magnetization = 3.09 μB per formula unit
Theoretical density = 5.19 g/cm3

Cell: 3.1364 3.2081 6.4592 Å, 90.00 90.00 90.00°
Last column: nearest neighbours and their distance in Å.
Space group Pmmm (No. 47)
One atom of each set of equivalent atoms:
Ca  0.0000  0.0000  0.0000 x1  4 Ca 3.14-3.21, 8 Cr 3.19, 2 Co 3.23
Cr  0.5000  0.5000  0.3520 x2  1 Cr 1.91
Co  0.0000  0.0000  0.5000 x1  8 Cr 2.44


Which one sits at the bottom of the stability order? run A does.